# 1
La2TcP2: relaxed, PBE.

Summary:
**Energy of formation**: -0.8914 eV/atom
**Magnetic moment**: 0.000 μB per formula unit
**Volume**: 20.26 Å³/atom

Unit cell a=6.590 b=6.590 c=4.664 alpha=90.00 beta=90.00 gamma=90.00
Fractional coordinates of all 10 atoms:
1 P 0.369 0.869 0.000
2 P 0.869 0.631 0.000
3 P 0.631 0.131 0.000
4 P 0.131 0.369 0.000
5 Tc 0.000 0.000 0.000
6 Tc 0.500 0.500 0.000
7 La 0.180 0.680 0.500
8 La 0.680 0.820 0.500
9 La 0.820 0.320 0.500
10 La 0.320 0.180 0.500



# 2
LaTc3P2: relaxed, PBE.

Summary:
**Energy of formation**: -0.6304 eV/atom
**Magnetic moment**: 0.000 μB per formula unit
**Volume**: 16.77 Å³/atom

Unit cell a=4.108 b=8.263 c=9.564 alpha=105.74 beta=90.00 gamma=104.39
Fractional coordinates of all 18 atoms:
1 La 0.160 0.319 0.710
2 La 0.840 0.681 0.290
3 La 0.000 0.000 0.000
4 Tc 0.039 0.077 0.366
5 Tc 0.961 0.923 0.634
6 Tc 0.207 0.414 0.385
7 Tc 0.793 0.586 0.615
8 Tc 0.619 0.237 0.206
9 Tc 0.381 0.763 0.794
10 Tc 0.500 0.000 0.500
11 Tc 0.322 0.644 0.016
12 Tc 0.678 0.356 0.984
13 P 0.201 0.401 0.129
14 P 0.799 0.599 0.871
15 P 0.464 0.927 0.213
16 P 0.536 0.073 0.787
17 P 0.351 0.702 0.537
18 P 0.649 0.298 0.463



# 3
La2TcP: relaxed, PBE.

Summary:
**Energy of formation**: -0.3562 eV/atom
**Magnetic moment**: 0.000 μB per formula unit
**Volume**: 22.91 Å³/atom

Unit cell a=5.005 b=5.005 c=3.709 alpha=90.00 beta=90.00 gamma=99.57
Fractional coordinates of all 4 atoms:
1 La 0.500 0.000 0.000
2 La 0.000 0.500 0.000
3 Tc 0.500 0.500 0.500
4 P 0.000 0.000 0.500



# 4
La2TcP: relaxed, PBE.

Summary:
**Energy of formation**: -0.5551 eV/atom
**Magnetic moment**: 0.000 μB per formula unit
**Volume**: 24.81 Å³/atom

Unit cell a=6.761 b=6.761 c=4.441 alpha=70.82 beta=70.82 gamma=31.34
Fractional coordinates of all 4 atoms:
1 P 0.570 0.570 0.430
2 Tc 0.200 0.200 0.300
3 La 0.986 0.986 0.014
4 La 0.744 0.744 0.756



# 5
La2TcP: relaxed, PBE.

Summary:
**Energy of formation**: -0.6491 eV/atom
**Magnetic moment**: 0.000 μB per formula unit
**Volume**: 24.21 Å³/atom

Unit cell a=4.291 b=4.288 c=5.684 alpha=67.83 beta=90.00 gamma=90.00
Fractional coordinates of all 4 atoms:
1 P 0.000 0.685 0.504
2 Tc 0.500 0.566 0.744
3 La 0.000 0.984 0.907
4 La 0.500 0.265 0.346



# 6
LaTc3P3: relaxed, PBE.

Summary:
**Energy of formation**: -0.6920 eV/atom
**Magnetic moment**: 0.000 μB per formula unit
**Volume**: 18.45 Å³/atom

Unit cell a=4.360 b=8.272 c=8.272 alpha=120.00 beta=90.00 gamma=90.00
Fractional coordinates of all 14 atoms:
1 La 0.750 0.667 0.333
2 La 0.250 0.333 0.667
3 Tc 0.750 0.949 0.788
4 Tc 0.750 0.212 0.161
5 Tc 0.750 0.839 0.051
6 Tc 0.250 0.051 0.212
7 Tc 0.250 0.788 0.839
8 Tc 0.250 0.161 0.949
9 P 0.750 0.623 0.710
10 P 0.750 0.290 0.913
11 P 0.750 0.087 0.377
12 P 0.250 0.377 0.290
13 P 0.250 0.710 0.087
14 P 0.250 0.913 0.623



# 7
La2TcP: relaxed, PBE.

Summary:
**Energy of formation**: -0.1822 eV/atom
**Magnetic moment**: 1.729 μB per formula unit
**Volume**: 23.15 Å³/atom

Unit cell a=5.944 b=5.944 c=5.944 alpha=138.11 beta=138.11 gamma=60.74
Fractional coordinates of all 4 atoms:
1 La 0.000 0.000 0.000
2 La 0.250 0.750 0.500
3 Tc 0.750 0.250 0.500
4 P 0.500 0.500 0.000



# 8
LaTc4P3: relaxed, PBE.

Summary:
**Energy of formation**: -0.5981 eV/atom
**Magnetic moment**: 0.000 μB per formula unit
**Volume**: 16.89 Å³/atom

Unit cell a=4.057 b=4.057 c=8.212 alpha=90.00 beta=90.00 gamma=90.00
Fractional coordinates of all 8 atoms:
1 P 0.000 0.000 0.000
2 P 0.500 0.500 0.314
3 P 0.500 0.500 0.686
4 Tc 0.500 0.000 0.164
5 Tc 0.000 0.500 0.164
6 Tc 0.500 0.000 0.836
7 Tc 0.000 0.500 0.836
8 La 0.000 0.000 0.500



# 9
La2TcP: relaxed, PBE.

Summary:
**Energy of formation**: -0.2477 eV/atom
**Magnetic moment**: 1.037 μB per formula unit
**Volume**: 26.61 Å³/atom

Unit cell a=8.066 b=8.066 c=8.066 alpha=28.62 beta=28.62 gamma=28.62
Fractional coordinates of all 4 atoms:
1 La 0.754 0.754 0.754
2 La 0.246 0.246 0.246
3 Tc 0.000 0.000 0.000
4 P 0.500 0.500 0.500



# 10
LaTc4P: relaxed, PBE.

Summary:
**Energy of formation**: 0.4090 eV/atom
**Magnetic moment**: 0.000 μB per formula unit
**Volume**: 17.84 Å³/atom

Unit cell a=5.330 b=5.330 c=5.330 alpha=60.00 beta=60.00 gamma=60.00
Fractional coordinates of all 6 atoms:
1 La 0.750 0.750 0.750
2 Tc 0.881 0.373 0.373
3 Tc 0.373 0.373 0.881
4 Tc 0.373 0.881 0.373
5 Tc 0.373 0.373 0.373
6 P 0.000 0.000 0.000



# 11
LaTiTcP2: relaxed, PBE.

Summary:
**Energy of formation**: -1.0769 eV/atom
**Magnetic moment**: 0.000 μB per formula unit
**Volume**: 18.56 Å³/atom

Unit cell a=3.904 b=3.904 c=6.685 alpha=106.98 beta=106.98 gamma=90.00
Fractional coordinates of all 5 atoms:
1 La 0.000 0.000 0.000
2 Ti 0.250 0.750 0.500
3 Tc 0.750 0.250 0.500
4 P 0.628 0.628 0.257
5 P 0.372 0.372 0.743



# 12
LaVTcP2: relaxed, PBE.

Summary:
**Energy of formation**: -0.9336 eV/atom
**Magnetic moment**: 0.324 μB per formula unit
**Volume**: 18.05 Å³/atom

Unit cell a=3.875 b=3.875 c=6.605 alpha=107.06 beta=107.06 gamma=90.00
Fractional coordinates of all 5 atoms:
1 La 0.000 0.000 0.000
2 V 0.750 0.250 0.500
3 Tc 0.250 0.750 0.500
4 P 0.633 0.633 0.266
5 P 0.367 0.367 0.734